The following is a PBE+U calculation of Mg2CoSnO after structural relaxation, from the Alexandria database.

For the offset from the most stable computed form, the calculation gives 0.000 eV/f.u. The calculation puts the final energy at -4.14 eV/atom. The calculation puts the density of states at the Fermi level at 0.337 states/eV per atom.

It has space group P4/mmm (No. 123), with a = 4.145 Å, b = 4.145 Å, c = 4.588 Å, α = 90.00°, β = 90.00° and γ = 90.00°. Symmetry generates all atoms from Mg at (0.000, 0.500, 0.000), Co at (0.000, 0.000, 0.500), Sn at (0.500, 0.500, 0.500) and O at (0.000, 0.000, 0.000).